MnZn2Mo, relaxed, DFT PBE; DFT formation energy = 0.4394 eV/atom; V = 13.6 Å³ per atom; M_tot = 0.000 μB/cell; offset from the most stable computed form = 0.350 eV/atom
1.0
3.4123 -2.2513 1.1693
-0.3516 -4.1766 0.7154
1.7460 -2.7751 -2.7074
Zn Mo Mn
2 1 1
direct
0.7500 0.7500 0.7500
0.2500 0.2500 0.2500
0.5000 0.5000 0.5000
0.0000 0.0000 0.0000